Entry 1:
Below is a relaxed structure of NdTcNi, with properties calculated at the GGA-PBE level.

## Properties
formation energy = 0.01 eV per atom
DFT total energy = -6.963 eV/atom
space group = I4/mmm (139)
total moment = 0.0 μB/f.u.

Cell lengths 8.704, 8.704, 8.704 Å; angles 155.13, 155.13, 35.46 degrees
Positions (direct):
Nd: 0.166 0.166 0.000
Nd: 0.834 0.834 0.000
Tc: 0.000 0.500 0.500
Tc: 0.500 0.000 0.500
Ni: 0.386 0.386 0.000
Ni: 0.614 0.614 0.000

---

Entry 2:
Below is a relaxed structure of Na2SrAlF8, with properties calculated at the GGA-PBE level.

## Properties
raw formation energy = -3.06 eV/atom
DFT total energy = -4.978 eV/atom
space group = P-1 (2)
total moment = 1.1 μB/f.u.

Cell lengths 4.740, 5.031, 7.023 Å; angles 90.06, 90.01, 90.01 degrees
Positions (direct):
Na: 0.000 0.000 0.220
Na: 0.000 0.000 0.780
Sr: 0.500 0.500 0.500
Al: 0.500 0.500 0.000
F: 0.042 0.250 0.500
F: 0.176 0.305 0.000
F: 0.375 0.719 0.808
F: 0.376 0.719 0.192
F: 0.624 0.281 0.808
F: 0.625 0.281 0.192
F: 0.824 0.695 0.000
F: 0.958 0.750 0.500

---

Entry 3:
Below is a relaxed structure of Sc2TiGeBi, with properties calculated at the GGA-PBE level.

## Properties
formation energy = -0.19 eV per atom
DFT total energy = -6.002 eV/atom
space group = P4/mmm (123)
total moment = 1.9 μB/f.u.

Cell lengths 5.073, 5.073, 4.820 Å; angles 90.00, 90.00, 90.00 degrees
Positions (direct):
Sc: 0.000 0.500 0.000
Sc: 0.500 0.000 0.000
Ti: 0.000 0.000 0.500
Ge: 0.000 0.000 0.000
Bi: 0.500 0.500 0.500

---

Entry 4:
Below is a relaxed structure of YHf2TlGa, with properties calculated at the GGA-PBE level.

## Properties
formation energy = 0.27 eV per atom
DFT total energy = -6.079 eV/atom
space group = P4/mmm (123)
total moment = 0.0 μB/f.u.

Cell lengths 5.030, 5.030, 5.280 Å; angles 90.00, 90.00, 90.00 degrees
Positions (direct):
Y: 0.000 0.000 0.000
Hf: 0.000 0.500 0.500
Hf: 0.500 0.000 0.500
Tl: 0.500 0.500 0.000
Ga: 0.000 0.000 0.500

---

Entry 5:
Below is a relaxed structure of CoSb4, with properties calculated at the GGA-PBE level.

## Properties
raw formation energy = 0.31 eV/atom
DFT total energy = -4.407 eV/atom
space group = Pm-3m (221)
total moment = 0.0 μB/f.u.

Cell lengths 4.997, 4.997, 4.997 Å; angles 90.00, 90.00, 90.00 degrees
Positions (direct):
Co: 0.000 0.000 0.000
Sb: 0.000 0.000 0.500
Sb: 0.000 0.500 0.000
Sb: 0.500 0.000 0.000
Sb: 0.500 0.500 0.500

---

Entry 6:
Below is a relaxed structure of CsNaMgSe2, with properties calculated at the GGA-PBE level.

## Properties
raw formation energy = -1.20 eV/atom
DFT total energy = -3.346 eV/atom
space group = C2/m (12)
total moment = 0.0 μB/f.u.

Cell lengths 7.997, 7.997, 11.371 Å; angles 122.00, 122.00, 32.51 degrees
Positions (direct):
Cs: 0.175 0.175 0.123
Cs: 0.825 0.825 0.877
Na: 0.348 0.348 0.581
Na: 0.652 0.652 0.419
Mg: 0.037 0.037 0.671
Mg: 0.963 0.963 0.329
Se: 0.154 0.154 0.571
Se: 0.441 0.441 0.186
Se: 0.559 0.559 0.814
Se: 0.846 0.846 0.429

---

Entry 7:
Below is a relaxed structure of SrTeIr3, with properties calculated at the GGA-PBE level.

## Properties
raw formation energy = 2.54 eV/atom
DFT total energy = -3.742 eV/atom
space group = Pm-3m (221)
total moment = 1.7 μB/f.u.

Cell lengths 5.004, 5.004, 5.004 Å; angles 90.00, 90.00, 90.00 degrees
Positions (direct):
Sr: 0.000 0.000 0.000
Te: 0.500 0.500 0.500
Ir: 0.000 0.000 0.500
Ir: 0.000 0.500 0.000
Ir: 0.500 0.000 0.000

---

Entry 8:
Below is a relaxed structure of CaSbTe2H, with properties calculated at the GGA-PBE level.

## Properties
DFT total energy = -3.397 eV/atom
space group = P4/mmm (123)
total moment = 0.0 μB/f.u.

Cell lengths 5.559, 5.559, 3.957 Å; angles 90.00, 90.00, 90.00 degrees
Positions (direct):
Ca: 0.000 0.000 0.000
Sb: 0.500 0.500 0.000
Te: 0.000 0.500 0.500
Te: 0.500 0.000 0.500
H: 0.500 0.500 0.500

---

Number 1: DOS(E_F) 3.9 states/eV/f.u.. Number 2: DOS(E_F) 5.3 states/eV/f.u.. Number 3: DOS(E_F) 3.7 states/eV/f.u.. Number 4: DOS(E_F) 3.0 states/eV/f.u.. Number 5: DOS(E_F) 5.1 states/eV/f.u.. Number 6: DOS(E_F) 0.0 states/eV/f.u.. Number 7: DOS(E_F) 8.3 states/eV/f.u.. Number 8: DOS(E_F) 2.3 states/eV/f.u..